No. 1
A relaxed Te16Mo9Ru3 crystal, computed with PBE.

abc: 7.1060 9.8377 10.3810
angles: 90.55 91.32 94.44
Fractional positions:
Te  0.0000  0.0000  0.0000
Te  0.0022  0.5014  0.4956
Te  0.1305  0.6756  0.1715
Te  0.1319  0.1710  0.6709
Te  0.1705  0.2062  0.2996
Te  0.1743  0.7161  0.7985
Te  0.2741  0.8674  0.4710
Te  0.2820  0.3665  0.9805
Te  0.5034  0.9812  0.1168
Te  0.5106  0.4812  0.6169
Te  0.5947  0.6307  0.2919
Te  0.6036  0.1304  0.7901
Te  0.6504  0.1724  0.4242
Te  0.6541  0.6738  0.9232
Te  0.7713  0.8498  0.6092
Te  0.7793  0.3516  0.1098
Mo  0.1483  0.4439  0.7370
Mo  0.6369  0.9006  0.3632
Mo  0.6444  0.4024  0.8621
Mo  0.8012  0.8184  0.1491
Mo  0.8071  0.3188  0.6460
Mo  0.9366  0.7537  0.3806
Mo  0.9434  0.2543  0.8824
Mo  0.9748  0.0252  0.4510
Mo  0.9811  0.5283  0.9494
Ru  0.1488  0.9442  0.2316
Ru  0.8369  0.0935  0.2141
Ru  0.8410  0.5960  0.7127

Output
The symmetry is No. 1. The total energy is -183.61 eV per formula unit. As for the uncorrected formation energy: -287 meV/atom.


No. 2
A relaxed LaPm4Pr3S8 crystal, computed with PBE.

abc: 8.1595 8.1595 8.1595
angles: 59.91 59.91 59.91
Fractional positions:
La  0.0000  0.0000  0.0000
Pm  0.0000  0.0000  0.5000
Pm  0.0000  0.5000  0.0000
Pm  0.5000  0.0000  0.0000
Pm  0.5000  0.5000  0.5000
Pr  0.0000  0.5000  0.5000
Pr  0.5000  0.0000  0.5000
Pr  0.5000  0.5000  0.0000
S  0.2477  0.2477  0.2477
S  0.2481  0.7474  0.7474
S  0.2526  0.2526  0.7519
S  0.2526  0.7519  0.2526
S  0.7474  0.2481  0.7474
S  0.7474  0.7474  0.2481
S  0.7519  0.2526  0.2526
S  0.7523  0.7523  0.7523

Output
The symmetry is No. 166. The total energy is -103.99 eV per formula unit. As for the uncorrected formation energy: -2044 meV/atom.


No. 3
A relaxed NdGa4Ni2Os crystal, computed with PBE.

abc: 9.3039 9.3039 9.3039
angles: 25.72 25.72 25.72
Fractional positions:
Nd  0.0000  0.0000  0.0000
Ga  0.1307  0.1307  0.1307
Ga  0.4038  0.4038  0.4038
Ga  0.5962  0.5962  0.5962
Ga  0.8693  0.8693  0.8693
Ni  0.2303  0.2303  0.2303
Ni  0.7697  0.7697  0.7697
Os  0.5000  0.5000  0.5000

Output
The symmetry is No. 166. The total energy is -42.48 eV per formula unit.